{"formula": "LaCe5Pb6", "functional": "PBE", "state": "relaxed", "delta_e_f_ev_per_atom": -0.4267, "de_polymorph_mev_per_atom": 0, "spacegroup": "Immm (71)", "dft_energy_ev_per_atom": -5.1640, "lattice_angstrom": [[-2.998, 3.340, 8.998], [2.998, -3.340, 8.998], [2.998, 3.340, -8.998]], "species": ["La", "Ce", "Ce", "Ce", "Ce", "Ce", "Pb", "Pb", "Pb", "Pb", "Pb", "Pb"], "fractional_positions": [[0.000, 0.000, 0.000], [0.165, 0.665, 0.500], [0.333, 0.333, 0.000], [0.500, 0.000, 0.500], [0.667, 0.667, 0.000], [0.835, 0.335, 0.500], [0.084, 0.832, 0.252], [0.255, 0.500, 0.755], [0.420, 0.168, 0.252], [0.580, 0.832, 0.748], [0.745, 0.500, 0.245], [0.916, 0.168, 0.748]]}

=====

{"formula": "ScSe3F", "functional": "PBE", "state": "relaxed", "formation_energy_uncorrected_kj_per_mol_atoms": -33.5, "de_polymorph_mev_per_atom": 0, "spacegroup": "Pm-3m (221)", "dft_energy_ev_per_atom": -4.0787, "lattice_angstrom": [[5.097, 0.000, 0.000], [0.000, 5.097, 0.000], [0.000, 0.000, 5.097]], "species": ["Sc", "Se", "Se", "Se", "F"], "fractional_positions": [[0.000, 0.000, 0.000], [0.000, 0.000, 0.500], [0.000, 0.500, 0.000], [0.500, 0.000, 0.000], [0.500, 0.500, 0.500]]}

=====

{"formula": "Sm2Si7Au12", "functional": "PBE", "state": "relaxed", "formation_energy_uncorrected_kj_per_mol_atoms": -23.8, "spacegroup": "P-3 (147)", "dft_energy_ev_per_atom": -4.3765, "lattice_angstrom": [[10.123, 0.000, 0.000], [-5.061, 8.767, 0.000], [0.000, 0.000, 4.396]], "species": ["Sm", "Sm", "Si", "Si", "Si", "Si", "Si", "Si", "Si", "Au", "Au", "Au", "Au", "Au", "Au", "Au", "Au", "Au", "Au", "Au", "Au"], "fractional_positions": [[0.333, 0.667, 0.242], [0.667, 0.333, 0.758], [0.000, 0.000, 0.500], [0.114, 0.397, 0.719], [0.283, 0.886, 0.719], [0.397, 0.283, 0.281], [0.603, 0.717, 0.719], [0.717, 0.114, 0.281], [0.886, 0.603, 0.281], [0.071, 0.614, 0.754], [0.124, 0.859, 0.215], [0.141, 0.265, 0.215], [0.265, 0.124, 0.785], [0.386, 0.458, 0.754], [0.458, 0.071, 0.246], [0.542, 0.929, 0.754], [0.614, 0.542, 0.246], [0.735, 0.876, 0.215], [0.859, 0.735, 0.785], [0.876, 0.141, 0.785], [0.929, 0.386, 0.246]]}